(1)
# P2AuSe (GGA-PBEsol, relaxed)
data_P2AuSe
_cell_length_a 3.5722
_cell_length_b 3.5722
_cell_length_c 18.3753
_cell_angle_alpha 90.00
_cell_angle_beta 90.00
_cell_angle_gamma 120.00
_symmetry_space_group_name_H-M 'R 3 m'
_symmetry_Int_Tables_number 160
_symmetry_space_group_name_Hall 'R 3 -2"'
loop_
_atom_site_label
_atom_site_type_symbol
_atom_site_fract_x
_atom_site_fract_y
_atom_site_fract_z
_atom_site_occupancy
P1 P 0.0000 0.0000 0.0000 1
P2 P 0.0000 0.0000 0.2655 1
Au1 Au 0.0000 0.0000 0.5161 1
Se1 Se 0.0000 0.0000 0.7528 1
# Total magnetization, μB/atom: 0.000
# E_tot, eV/cell: -57.40
# Calculated volume, Å³/cell: 203.07

***

(2)
# PAuSe (GGA-PBEsol, relaxed)
data_PAuSe
_cell_length_a 3.174
_cell_length_b 3.174
_cell_length_c 10.335
_cell_angle_alpha 90.00
_cell_angle_beta 90.00
_cell_angle_gamma 90.00
_symmetry_space_group_name_H-M 'I 4 m m'
_symmetry_Int_Tables_number 107
_symmetry_space_group_name_Hall 'I 4 -2'
loop_
_atom_site_label
_atom_site_type_symbol
_atom_site_fract_x
_atom_site_fract_y
_atom_site_fract_z
_atom_site_occupancy
P1 P 0.000 0.000 0.000 1
Au1 Au 0.000 0.000 0.347 1
Se1 Se 0.000 0.000 0.642 1
# Total magnetization, μB/atom: 0.000
# E_tot, eV/cell: -24.21
# Calculated volume, Å³/cell: 104.09

***

(3)
# TlPAuSe3 (GGA-PBEsol, relaxed)
data_TlPAuSe3
_cell_length_a 12.080
_cell_length_b 7.091
_cell_length_c 8.376
_cell_angle_alpha 90.00
_cell_angle_beta 123.04
_cell_angle_gamma 90.00
_symmetry_space_group_name_H-M 'C 1 2/m 1'
_symmetry_Int_Tables_number 12
_symmetry_space_group_name_Hall '-C 2y'
loop_
_atom_site_label
_atom_site_type_symbol
_atom_site_fract_x
_atom_site_fract_y
_atom_site_fract_z
_atom_site_occupancy
Tl1 Tl 0.218 0.000 0.281 1
P1 P 0.036 0.500 0.155 1
Au1 Au 0.000 0.274 0.500 1
Se1 Se 0.060 0.240 0.827 1
Se2 Se 0.249 0.000 0.678 1
# Total magnetization, μB/atom: 0.000
# E_tot, eV/cell: -99.35
# Calculated volume, Å³/cell: 601.52

***

(4)
# SiP2Au (GGA-PBEsol, relaxed)
data_SiP2Au
_cell_length_a 4.321
_cell_length_b 3.496
_cell_length_c 4.456
_cell_angle_alpha 90.00
_cell_angle_beta 107.99
_cell_angle_gamma 90.00
_symmetry_space_group_name_H-M 'P 1 2/m 1'
_symmetry_Int_Tables_number 10
_symmetry_space_group_name_Hall '-P 2y'
loop_
_atom_site_label
_atom_site_type_symbol
_atom_site_fract_x
_atom_site_fract_y
_atom_site_fract_z
_atom_site_occupancy
Si1 Si 0.000 0.000 0.000 1
P1 P 0.276 0.500 0.794 1
Au1 Au 0.500 0.000 0.500 1
# Total magnetization, μB/atom: 0.000
# E_tot, eV/cell: -21.25
# Calculated volume, Å³/cell: 64.03

***

(5)
# SiP2Au (GGA-PBEsol, relaxed)
data_SiP2Au
_cell_length_a 10.619
_cell_length_b 3.309
_cell_length_c 4.324
_cell_angle_alpha 90.00
_cell_angle_beta 111.12
_cell_angle_gamma 90.00
_symmetry_space_group_name_H-M 'C 1 2/m 1'
_symmetry_Int_Tables_number 12
_symmetry_space_group_name_Hall '-C 2y'
loop_
_atom_site_label
_atom_site_type_symbol
_atom_site_fract_x
_atom_site_fract_y
_atom_site_fract_z
_atom_site_occupancy
Si1 Si 0.000 0.000 0.000 1
P1 P 0.177 0.500 0.040 1
Au1 Au 0.000 0.500 0.500 1
# Total magnetization, μB/atom: 0.000
# E_tot, eV/cell: -40.97
# Calculated volume, Å³/cell: 141.73

***

(6)
# SiP2Au (GGA-PBEsol, relaxed)
data_SiP2Au
_cell_length_a 5.455
_cell_length_b 5.455
_cell_length_c 10.400
_cell_angle_alpha 90.00
_cell_angle_beta 90.00
_cell_angle_gamma 90.00
_symmetry_space_group_name_H-M 'I -4 2 d'
_symmetry_Int_Tables_number 122
_symmetry_space_group_name_Hall 'I -4 2bw'
loop_
_atom_site_label
_atom_site_type_symbol
_atom_site_fract_x
_atom_site_fract_y
_atom_site_fract_z
_atom_site_occupancy
Si1 Si 0.000 0.000 0.000 1
P1 P 0.231 0.250 0.125 1
Au1 Au 0.000 0.000 0.500 1
# Total magnetization, μB/atom: 0.000
# E_tot, eV/cell: -86.14
# Calculated volume, Å³/cell: 309.50

***

(7)
# SiP2Au (GGA-PBEsol, relaxed)
data_SiP2Au
_cell_length_a 2.683
_cell_length_b 4.729
_cell_length_c 4.843
_cell_angle_alpha 90.00
_cell_angle_beta 90.00
_cell_angle_gamma 90.00
_symmetry_space_group_name_H-M 'P m m m'
_symmetry_Int_Tables_number 47
_symmetry_space_group_name_Hall '-P 2 2'
loop_
_atom_site_label
_atom_site_type_symbol
_atom_site_fract_x
_atom_site_fract_y
_atom_site_fract_z
_atom_site_occupancy
Si1 Si 0.000 0.000 0.000 1
P1 P 0.000 0.500 0.500 1
P2 P 0.500 0.000 0.500 1
Au1 Au 0.500 0.500 0.000 1
# Total magnetization, μB/atom: 0.000
# E_tot, eV/cell: -19.47
# Calculated volume, Å³/cell: 61.45

***

(8)
# SiP2Au (GGA-PBEsol, relaxed)
data_SiP2Au
_cell_length_a 2.683
_cell_length_b 3.280
_cell_length_c 6.925
_cell_angle_alpha 90.00
_cell_angle_beta 90.00
_cell_angle_gamma 90.00
_symmetry_space_group_name_H-M 'P m m m'
_symmetry_Int_Tables_number 47
_symmetry_space_group_name_Hall '-P 2 2'
loop_
_atom_site_label
_atom_site_type_symbol
_atom_site_fract_x
_atom_site_fract_y
_atom_site_fract_z
_atom_site_occupancy
Si1 Si 0.000 0.000 0.000 1
P1 P 0.500 0.500 0.225 1
Au1 Au 0.000 0.000 0.500 1
# Total magnetization, μB/atom: 0.000
# E_tot, eV/cell: -19.49
# Calculated volume, Å³/cell: 60.96

***

Repeat the fifth record exactly.
# SiP2Au (GGA-PBEsol, relaxed)
data_SiP2Au
_cell_length_a 10.619
_cell_length_b 3.309
_cell_length_c 4.324
_cell_angle_alpha 90.00
_cell_angle_beta 111.12
_cell_angle_gamma 90.00
_symmetry_space_group_name_H-M 'C 1 2/m 1'
_symmetry_Int_Tables_number 12
_symmetry_space_group_name_Hall '-C 2y'
loop_
_atom_site_label
_atom_site_type_symbol
_atom_site_fract_x
_atom_site_fract_y
_atom_site_fract_z
_atom_site_occupancy
Si1 Si 0.000 0.000 0.000 1
P1 P 0.177 0.500 0.040 1
Au1 Au 0.000 0.500 0.500 1
# Total magnetization, μB/atom: 0.000
# E_tot, eV/cell: -40.97
# Calculated volume, Å³/cell: 141.73

***

> Which value of calculated volume does entry 8 give?

60.96 Å³/cell

***

What did the sixth record say?
# SiP2Au (GGA-PBEsol, relaxed)
data_SiP2Au
_cell_length_a 5.455
_cell_length_b 5.455
_cell_length_c 10.400
_cell_angle_alpha 90.00
_cell_angle_beta 90.00
_cell_angle_gamma 90.00
_symmetry_space_group_name_H-M 'I -4 2 d'
_symmetry_Int_Tables_number 122
_symmetry_space_group_name_Hall 'I -4 2bw'
loop_
_atom_site_label
_atom_site_type_symbol
_atom_site_fract_x
_atom_site_fract_y
_atom_site_fract_z
_atom_site_occupancy
Si1 Si 0.000 0.000 0.000 1
P1 P 0.231 0.250 0.125 1
Au1 Au 0.000 0.000 0.500 1
# Total magnetization, μB/atom: 0.000
# E_tot, eV/cell: -86.14
# Calculated volume, Å³/cell: 309.50